First-principles (meta-GGA SCAN) data for Ba2Si2Br at its PBEsol-relaxed geometry, as listed in Alexandria via LeMat-Bulk.

```
Ba2Si2Br
1.0
-0.221 3.836 -1.838
-7.956 -1.949 -3.112
-3.643 3.272 7.266
Si Ba Br
4 4 2
direct
0.000 0.411 0.911
0.000 0.089 0.411
0.000 0.589 0.089
0.000 0.911 0.589
0.500 0.696 0.804
0.500 0.304 0.196
0.500 0.196 0.696
0.500 0.804 0.304
0.000 0.500 0.500
0.000 0.000 0.000
```

N(E_F) in states/eV per atom: 0.29
Energy relative to the elements, uncorrected in eV per atom: -0.75
Density in g cm⁻³: 4.17
VASP energy in eV per atom: -24.47
Distance to the lowest polymorph of the same formula in eV/atom: 0.0000


First-principles (meta-GGA SCAN) data for Rb2SiP4O13 at its PBEsol-relaxed geometry, as listed in Alexandria via LeMat-Bulk.

```
Rb2SiP4O13
1.0
-3.962 0.856 -2.720
3.234 -0.984 -6.997
-4.139 -14.475 -1.520
O P Rb Si
26 8 4 2
direct
0.195 0.707 0.063
0.123 0.629 0.231
0.121 0.847 0.575
0.794 0.861 0.155
0.452 0.845 0.807
0.709 0.986 0.671
0.516 0.599 0.709
0.179 0.578 0.399
0.548 0.155 0.193
0.956 0.244 0.257
0.044 0.756 0.743
0.821 0.422 0.601
0.484 0.401 0.291
0.279 0.921 0.172
0.731 0.436 0.132
0.877 0.371 0.769
0.805 0.293 0.937
0.269 0.564 0.868
0.206 0.139 0.845
0.291 0.014 0.329
0.807 0.950 0.311
0.721 0.079 0.828
0.879 0.153 0.425
0.539 0.719 0.290
0.461 0.281 0.710
0.193 0.050 0.689
0.680 0.314 0.211
0.320 0.686 0.789
0.979 0.086 0.337
0.676 0.409 0.692
0.103 0.783 0.150
0.897 0.217 0.850
0.324 0.591 0.308
0.021 0.914 0.663
0.725 0.687 0.972
0.321 0.255 0.511
0.679 0.745 0.489
0.275 0.313 0.028
0.457 0.064 0.759
0.543 0.936 0.241
```

N(E_F) in states/eV per atom: 0.00
Energy relative to the elements, uncorrected in eV per atom: -2.55
Density in g cm⁻³: 3.13
VASP energy in eV per atom: -11.25


First-principles (meta-GGA SCAN) data for Cr2SiO4 at its PBEsol-relaxed geometry, as listed in Alexandria via LeMat-Bulk.

```
Cr2SiO4
1.0
5.703 -0.089 0.000
-2.885 4.921 0.000
-1.409 -2.416 5.589
Si O Cr
2 8 4
direct
0.250 0.750 0.500
0.000 0.000 0.000
0.990 0.196 0.845
0.260 0.554 0.655
0.804 0.010 0.155
0.394 0.101 0.655
0.899 0.606 0.345
0.446 0.740 0.345
0.351 0.144 0.155
0.856 0.649 0.845
0.903 0.097 0.500
0.597 0.403 0.500
0.347 0.653 0.000
0.653 0.347 0.000
```

Energy relative to the elements, uncorrected in eV per atom: -2.35
Density in g cm⁻³: 4.19
VASP energy in eV per atom: -12.60


First-principles (meta-GGA SCAN) data for BeNbCo3 at its PBEsol-relaxed geometry, as listed in Alexandria via LeMat-Bulk.

```
BeNbCo3
1.0
3.811 0.000 0.000
0.000 3.811 0.000
0.000 0.000 3.811
Co Be Nb
3 1 1
direct
0.000 0.500 0.000
0.000 0.000 0.500
0.500 0.000 0.000
0.000 0.000 0.000
0.500 0.500 0.500
```

N(E_F) in states/eV per atom: 0.37
Formation enthalpy at 0 K in meV/atom: 251
Density in g cm⁻³: 8.36
VASP energy in eV per atom: -17.63


First-principles (meta-GGA SCAN) data for K3TlH at its PBEsol-relaxed geometry, as listed in Alexandria via LeMat-Bulk.

```
K3TlH
1.0
-4.558 -1.971 2.310
2.993 -3.617 2.820
0.511 3.609 4.087
K Tl H
3 1 1
direct
0.500 0.000 0.000
0.000 0.500 0.000
0.000 0.000 0.500
0.500 0.500 0.500
0.000 0.000 0.000
```

N(E_F) in states/eV per atom: 0.64
Density in g cm⁻³: 3.26
VASP energy in eV per atom: -20.29


First-principles (meta-GGA SCAN) data for LiTcP2 at its PBEsol-relaxed geometry, as listed in Alexandria via LeMat-Bulk.

```
LiTcP2
1.0
2.591 -0.010 0.000
-0.632 2.513 0.000
0.000 0.000 9.033
P Li Tc
2 1 1
direct
0.000 0.000 0.033
0.500 0.500 0.707
0.500 0.500 0.250
0.000 0.000 0.510
```

N(E_F) in states/eV per atom: 0.39
Formation enthalpy at 0 K in meV/atom: 231
Density in g cm⁻³: 4.72
VASP energy in eV per atom: -14.33
Distance to the lowest polymorph of the same formula in eV/atom: 0.6862


First-principles (meta-GGA SCAN) data for Lu2Zn17 at its PBEsol-relaxed geometry, as listed in Alexandria via LeMat-Bulk.

```
Lu2Zn17
1.0
6.618 -0.019 -0.017
0.855 6.562 -0.017
0.855 0.749 6.519
Zn Lu
17 2
direct
0.161 0.647 0.647
0.299 0.701 0.000
0.353 0.353 0.839
0.701 0.000 0.299
0.353 0.839 0.353
0.000 0.701 0.299
0.000 0.000 0.500
0.839 0.353 0.353
0.000 0.299 0.701
0.100 0.100 0.100
0.647 0.161 0.647
0.701 0.299 0.000
0.299 0.000 0.701
0.647 0.647 0.161
0.900 0.900 0.900
0.500 0.000 0.000
0.000 0.500 0.000
0.335 0.335 0.335
0.665 0.665 0.665
```

N(E_F) in states/eV per atom: 0.22
Formation enthalpy at 0 K in meV/atom: -263
Density in g cm⁻³: 8.57
VASP energy in eV per atom: -18.18


First-principles (meta-GGA SCAN) data for In2TcP at its PBEsol-relaxed geometry, as listed in Alexandria via LeMat-Bulk.

```
In2TcP
1.0
2.970 0.000 0.000
0.000 2.970 0.000
0.000 0.000 8.186
In Tc P
2 1 1
direct
0.000 0.000 0.732
0.000 0.000 0.268
0.500 0.500 0.500
0.500 0.500 0.000
```

N(E_F) in states/eV per atom: 0.59
Formation enthalpy at 0 K in meV/atom: 532
Density in g cm⁻³: 8.25
VASP energy in eV per atom: -27.53